This record from Alexandria describes an optimized crystal structure of HoZnH6Ir2. The functional is PBE.

As for the total magnetization: 0.00 μB/f.u. Its density is 11.38 g/cm3. The calculation puts the total energy at -4.686 eV/atom. The symmetry is R-3m. The calculated volume comes out at 9.06 Å³ per atom.

Unit cell a=4.478 b=4.478 c=5.820 alpha=67.37 beta=67.37 gamma=60.00
Fractional positions:
1 Ir 0.789 0.789 0.632
2 Ir 0.211 0.211 0.368
3 H 0.442 0.946 0.170
4 H 0.946 0.442 0.170
5 H 0.558 0.054 0.830
6 H 0.442 0.442 0.170
7 H 0.558 0.558 0.830
8 H 0.054 0.558 0.830
9 Ho 0.000 0.000 0.000
10 Zn 0.500 0.500 0.500